1.
{
  "formula": "PmTlRu",
  "functional": "GGA-PBE",
  "state": "relaxed",
  "formation_enthalpy_0k_ev_per_atom": -0.03,
  "energy_ev_per_cell": -16.47,
  "crystal_system": "tetragonal",
  "rho_g_cm3": 10.910,
  "de_polymorph_mev_per_atom": 0,
  "total_magnetization_mub_per_cell": 0.00,
  "lattice": [[-0.783, -3.268, -0.934], [3.365, -0.881, 0.265], [-2.073, 0.715, 5.747]],
  "species": ["Tl", "Pm", "Ru"],
  "frac_coords": [[0.308, 0.308, 0.616], [0.595, 0.595, 0.191], [0.947, 0.947, 0.893]]
}

2.
{
  "formula": "Ac2PmNdSe6",
  "functional": "GGA-PBE",
  "state": "relaxed",
  "energy_ev_per_cell": -57.78,
  "raw_formation_energy_mev_per_atom": -1914,
  "crystal_system": "trigonal",
  "rho_g_cm3": 5.919,
  "total_magnetization_mub_per_cell": 0.00,
  "lattice": [[7.691, 0.000, 0.000], [3.845, 6.660, 0.000], [3.845, 2.220, 6.665]],
  "species": ["Se", "Ac", "Se", "Se", "Se", "Ac", "Se", "Se", "Pm", "Nd"],
  "frac_coords": [[0.607, 0.193, 0.259], [0.024, 0.024, 0.928], [0.694, 0.105, 0.758], [0.941, 0.607, 0.259], [0.193, 0.941, 0.259], [0.524, 0.524, 0.429], [0.105, 0.443, 0.758], [0.443, 0.694, 0.758], [0.816, 0.816, 0.553], [0.315, 0.315, 0.054]]
}

3.
{
  "formula": "Eu2HoAl",
  "functional": "GGA-PBE",
  "state": "relaxed",
  "formation_enthalpy_0k_ev_per_atom": 0.03,
  "energy_ev_per_cell": -28.76,
  "crystal_system": "cubic",
  "rho_g_cm3": 6.879,
  "de_polymorph_mev_per_atom": 83,
  "total_magnetization_mub_per_cell": 14.24,
  "lattice": [[-5.461, -0.239, 0.850], [-1.975, -0.677, 5.123], [-2.589, 4.176, 2.541]],
  "species": ["Al", "Ho", "Eu", "Eu"],
  "frac_coords": [[0.500, 0.500, 0.500], [0.000, 0.000, 0.000], [0.750, 0.750, 0.750], [0.250, 0.250, 0.250]]
}

4.
{
  "formula": "SmTaAlIr2",
  "functional": "GGA-PBE",
  "state": "relaxed",
  "formation_enthalpy_0k_ev_per_atom": -0.76,
  "energy_ev_per_cell": -41.83,
  "crystal_system": "tetragonal",
  "rho_g_cm3": 12.559,
  "total_magnetization_mub_per_cell": 0.00,
  "lattice": [[-3.821, -1.297, 1.007], [-0.574, -1.336, -3.897], [4.298, -3.760, 2.876]],
  "species": ["Al", "Ir", "Sm", "Ta", "Ir"],
  "frac_coords": [[0.750, 0.250, 0.500], [0.385, 0.385, 0.771], [0.000, 0.000, 0.000], [0.250, 0.750, 0.500], [0.615, 0.615, 0.229]]
}

5.
{
  "formula": "LiNbCo2H",
  "functional": "GGA-PBE",
  "state": "relaxed",
  "energy_ev_per_cell": -21.81,
  "crystal_system": "tetragonal",
  "rho_g_cm3": 5.721,
  "total_magnetization_mub_per_cell": 1.64,
  "lattice": [[-0.254, 0.627, -3.662], [-4.505, -0.784, 0.178], [-0.603, 3.615, 0.661]],
  "species": ["Co", "H", "Li", "Co", "Nb"],
  "frac_coords": [[0.500, 0.000, 0.000], [0.500, 0.500, 0.500], [0.000, 0.000, 0.000], [0.000, 0.000, 0.500], [0.000, 0.500, 0.000]]
}

6.
{
  "formula": "ZrBeW2",
  "functional": "GGA-PBE",
  "state": "relaxed",
  "formation_enthalpy_0k_ev_per_atom": 0.49,
  "energy_ev_per_cell": -36.24,
  "crystal_system": "orthorhombic",
  "rho_g_cm3": 11.782,
  "total_magnetization_mub_per_cell": 0.00,
  "lattice": [[-3.385, -3.911, 0.851], [4.115, -1.032, -3.078], [1.424, -0.763, 2.159]],
  "species": ["Be", "Zr", "W", "W"],
  "frac_coords": [[0.000, 0.500, 0.500], [0.500, 0.000, 0.500], [0.000, 0.000, 0.000], [0.500, 0.500, 0.000]]
}

7.
{
  "formula": "Tl5Cr3",
  "functional": "GGA-PBE",
  "state": "relaxed",
  "formation_enthalpy_0k_ev_per_atom": 0.60,
  "energy_ev_per_cell": -35.93,
  "crystal_system": "orthorhombic",
  "rho_g_cm3": 10.410,
  "total_magnetization_mub_per_cell": 12.58,
  "lattice": [[1.015, 2.199, -5.875], [-5.131, 3.499, 1.345], [2.759, 3.377, 1.741]],
  "species": ["Tl", "Tl", "Cr", "Cr", "Tl", "Cr", "Tl", "Tl"],
  "frac_coords": [[0.000, 0.500, 0.000], [0.500, 0.000, 0.000], [0.755, 0.245, 0.500], [0.245, 0.755, 0.500], [0.721, 0.721, 0.500], [0.500, 0.500, 0.000], [0.279, 0.279, 0.500], [0.000, 0.000, 0.000]]
}

8.
{
  "formula": "AcZrTi",
  "functional": "GGA-PBE",
  "state": "relaxed",
  "formation_enthalpy_0k_ev_per_atom": 0.41,
  "energy_ev_per_cell": -38.65,
  "crystal_system": "orthorhombic",
  "rho_g_cm3": 7.294,
  "total_magnetization_mub_per_cell": 0.00,
  "lattice": [[5.078, 0.000, 0.000], [2.539, 5.932, 0.000], [2.539, 0.000, 5.533]],
  "species": ["Ac", "Ac", "Ti", "Zr", "Zr", "Ti"],
  "frac_coords": [[0.139, 0.722, 0.000], [0.861, 0.278, 0.000], [0.750, 0.500, 0.500], [0.695, 0.000, 0.611], [0.305, 0.000, 0.389], [0.250, 0.500, 0.500]]
}